Entry from Alexandria: a relaxed CaZn2Sn crystal (PBE).

Output
* calculated volume: 96.67 Å³/cell
* space-group type: Amm2, No. 38
* energy of formation: -0.14 eV/atom

The structure in CIF format:
```
data_CaZn2Sn
_chemical_formula_sum 'Ca1 Zn2 Sn1'
_cell_length_a 4.407
_cell_length_b 5.801
_cell_length_c 4.765
_cell_angle_alpha 127.49
_cell_angle_beta 90.00
_cell_angle_gamma 90.00
_symmetry_space_group_name_H-M 'P 1'
_symmetry_Int_Tables_number 1
loop_
_symmetry_equiv_pos_as_xyz
'x,y,z'
loop_
_atom_site_label
_atom_site_fract_x
_atom_site_fract_y
_atom_site_fract_z
Ca1 0.500 0.803 0.606
Zn1 0.000 0.089 0.179
Zn2 0.500 0.238 0.477
Sn1 0.000 0.472 0.945
```